1.
This record from the Alexandria database describes crystalline Pm8Te4Se3S at its relaxed geometry. The functional is PBE-GGA. Values from VASP.

Cell and atoms, written as Quantum ESPRESSO input:
```
&SYSTEM
  ibrav = 0, nat = 16, ntyp = 4
/
ATOMIC_SPECIES
S 32.06 S.upf
Pm 145.00 Pm.upf
Se 78.96 Se.upf
Te 127.60 Te.upf
CELL_PARAMETERS angstrom
-1.560 7.633 3.621
-5.262 2.054 -6.595
-1.375 -7.223 4.442
ATOMIC_POSITIONS crystal
S 0.000 0.500 0.000
Pm 0.261 0.283 0.522
Pm 0.739 0.717 0.478
Pm 0.249 0.288 0.018
Pm 0.769 0.288 0.538
Pm 0.751 0.712 0.982
Pm 0.769 0.288 0.018
Pm 0.231 0.712 0.462
Pm 0.231 0.712 0.982
Se 0.000 0.500 0.500
Se 0.500 0.500 0.000
Se 0.500 0.500 0.500
Te 0.500 0.000 0.000
Te 0.000 0.000 0.000
Te 0.000 0.000 0.500
Te 0.500 0.000 0.500
```

2.
This record from the Alexandria database describes crystalline Pm8Tl4Se3S at its relaxed geometry. The functional is PBE-GGA. Values from VASP.

Cell and atoms, written as Quantum ESPRESSO input:
```
&SYSTEM
  ibrav = 0, nat = 16, ntyp = 4
/
ATOMIC_SPECIES
Pm 145.00 Pm.upf
Tl 204.38 Tl.upf
Se 78.96 Se.upf
S 32.06 S.upf
CELL_PARAMETERS angstrom
8.136 0.000 0.000
0.000 9.267 0.769
-4.068 -4.091 5.767
ATOMIC_POSITIONS crystal
Pm 0.235 0.715 0.470
Pm 0.235 0.715 0.981
Pm 0.259 0.279 0.519
Pm 0.741 0.721 0.481
Pm 0.254 0.285 0.019
Pm 0.746 0.715 0.981
Pm 0.765 0.285 0.019
Pm 0.765 0.285 0.530
Tl 0.000 0.000 0.500
Tl 0.500 0.000 0.500
Tl 0.000 0.000 0.000
Tl 0.500 0.000 0.000
Se 0.500 0.500 0.000
Se 0.000 0.500 0.500
Se 0.500 0.500 0.500
S 0.000 0.500 0.000
```

3.
This record from the Alexandria database describes crystalline Pm6TlSe2S3 at its relaxed geometry. The functional is PBE-GGA. Values from VASP.

Cell and atoms, written as Quantum ESPRESSO input:
```
&SYSTEM
  ibrav = 0, nat = 12, ntyp = 4
/
ATOMIC_SPECIES
S 32.06 S.upf
Pm 145.00 Pm.upf
Se 78.96 Se.upf
Tl 204.38 Tl.upf
CELL_PARAMETERS angstrom
4.087 0.000 0.000
0.000 8.485 0.297
-2.044 -2.454 8.783
ATOMIC_POSITIONS crystal
S 0.167 0.831 0.333
S 0.500 0.500 0.000
S 0.833 0.169 0.667
Pm 0.998 0.271 0.996
Pm 0.327 0.926 0.655
Pm 0.339 0.406 0.678
Pm 0.002 0.729 0.004
Pm 0.673 0.074 0.345
Pm 0.661 0.594 0.322
Se 0.830 0.662 0.661
Se 0.170 0.338 0.339
Tl 0.500 0.000 0.000
```

4.
This record from the Alexandria database describes crystalline PmTmSeS at its relaxed geometry. The functional is PBE-GGA. Values from VASP.

Cell and atoms, written as Quantum ESPRESSO input:
```
&SYSTEM
  ibrav = 0, nat = 4, ntyp = 4
/
ATOMIC_SPECIES
Pm 145.00 Pm.upf
Se 78.96 Se.upf
S 32.06 S.upf
Tm 168.93 Tm.upf
CELL_PARAMETERS angstrom
-1.081 -3.074 -2.151
3.227 1.996 -0.927
3.450 -2.848 5.876
ATOMIC_POSITIONS crystal
Pm 0.119 0.957 0.091
Se 0.976 0.386 0.378
S 0.296 0.546 0.857
Tm 0.487 0.141 0.644
```

5.
This record from the Alexandria database describes crystalline Pm2TmSe2S2 at its relaxed geometry. The functional is PBE-GGA. Values from VASP.

Cell and atoms, written as Quantum ESPRESSO input:
```
&SYSTEM
  ibrav = 0, nat = 7, ntyp = 4
/
ATOMIC_SPECIES
Pm 145.00 Pm.upf
S 32.06 S.upf
Se 78.96 Se.upf
Tm 168.93 Tm.upf
CELL_PARAMETERS angstrom
-2.393 2.066 3.883
1.929 -3.479 3.040
6.099 5.084 -2.175
ATOMIC_POSITIONS crystal
Pm 0.623 0.623 0.247
Pm 0.377 0.377 0.753
S 0.000 0.500 0.000
S 0.500 0.000 0.000
Se 0.815 0.815 0.629
Se 0.185 0.185 0.371
Tm 0.000 0.000 0.000
```

6.
This record from the Alexandria database describes crystalline PmUSeS2 at its relaxed geometry. The functional is PBE-GGA. Values from VASP.

Cell and atoms, written as Quantum ESPRESSO input:
```
&SYSTEM
  ibrav = 0, nat = 5, ntyp = 4
/
ATOMIC_SPECIES
Pm 145.00 Pm.upf
S 32.06 S.upf
Se 78.96 Se.upf
U 238.03 U.upf
CELL_PARAMETERS angstrom
-3.142 2.351 -1.932
-3.009 -1.985 2.477
3.770 4.576 4.387
ATOMIC_POSITIONS crystal
Pm 0.871 0.871 0.742
S 0.747 0.247 0.494
S 0.247 0.747 0.494
Se 0.502 0.502 0.004
U 0.133 0.133 0.266
```

DFT total energy across the listed records, respectively: -5.732, -4.988, -5.848, -6.069, -5.806, -6.788 eV per atom.
Calculated density across the listed records, respectively: 7070, 8102, 7172, 7597, 6069, 6821 kg/m³.